# SrMgTa2

Crystalline SrMgTa2 at its relaxed geometry (PBE-GGA, Alexandria).

Structure (CIF):
```
data_SrMgTa2
_cell_length_a 3.0082
_cell_length_b 5.4097
_cell_length_c 5.7962
_cell_angle_alpha 90.00
_cell_angle_beta 100.90
_cell_angle_gamma 90.00
_symmetry_space_group_name_H-M 'P 1 2/m 1'
_symmetry_Int_Tables_number 10
loop_
_symmetry_equiv_pos_as_xyz
'x,y,z'
'-x,-y,-z'
'-x,y,-z'
'x,-y,z'
loop_
_atom_site_label
_atom_site_fract_x
_atom_site_fract_y
_atom_site_fract_z
_atom_site_occupancy
Sr1 0.0000 0.0000 0.0000 1
Mg1 0.5000 0.0000 0.5000 1
Ta1 0.3265 0.5000 0.7103 1
```


# NaPt3

Crystalline NaPt3 at its relaxed geometry (PBE-GGA, Alexandria).

Structure (CIF):
```
data_NaPt3
_cell_length_a 2.7653
_cell_length_b 2.7653
_cell_length_c 8.7671
_cell_angle_alpha 90.00
_cell_angle_beta 90.00
_cell_angle_gamma 90.00
_symmetry_space_group_name_H-M 'P 4/m m m'
_symmetry_Int_Tables_number 123
_symmetry_space_group_name_Hall '-P 4 2'
loop_
_atom_site_label
_atom_site_fract_x
_atom_site_fract_y
_atom_site_fract_z
_atom_site_occupancy
Na1 0.0000 0.0000 0.0000 1
Pt1 0.0000 0.0000 0.5000 1
Pt2 0.5000 0.5000 0.2698 1
```


Formation energy from the elements across the listed records, respectively: 0.764, -0.050 eV/atom.
Raw total energy across the listed records, respectively: -5.981, -4.910 eV/atom.